# 1
First-principles (PBE-GGA) data for an optimized crystal structure of NdHoAu, as listed in Alexandria via LeMat-Bulk.

Computed properties:
symmetry: P2_1/m (11)
spin magnetization: 0.000 μB/atom
ΔH_f (0 K): -0.59 eV per atom

a b c (Å): 4.9637 7.3918 13.7008
angles (deg): 87.46 90.00 90.00
Last column: nearest neighbours and their distance in Å.
Positions (direct):
Au: 0.7500 0.2809 0.7431  3 Ho 2.86-2.95
Au: 0.7500 0.2119 0.0969  5 Ho 2.87-3.16, 2 Nd 2.96-2.97
Au: 0.2500 0.7881 0.9031  5 Ho 2.87-3.16, 2 Nd 2.96-2.97
Au: 0.2500 0.2523 0.4351  4 Ho 2.90-3.00, 3 Nd 3.15-3.24
Au: 0.7500 0.7477 0.5649  4 Ho 2.90-3.00, 3 Nd 3.15-3.24
Au: 0.2500 0.7191 0.2569  3 Ho 2.86-2.95
Ho: 0.2500 0.8602 0.4547  4 Au 2.90-3.00
Ho: 0.2500 0.3390 0.2188  4 Au 2.88-3.16
Ho: 0.7500 0.0404 0.9127  4 Au 2.86-3.11
Ho: 0.2500 0.9596 0.0873  4 Au 2.86-3.11
Ho: 0.7500 0.1398 0.5453  4 Au 2.90-3.00
Ho: 0.7500 0.6610 0.7812  4 Au 2.88-3.16
Nd: 0.2500 0.3869 0.9197  1 Au 2.96
Nd: 0.7500 0.6131 0.0803  1 Au 2.96
Nd: 0.2500 0.0029 0.7148  3 Au 2.97-3.26
Nd: 0.7500 0.5179 0.3764  5 Au 3.15-3.29
Nd: 0.2500 0.4821 0.6236  5 Au 3.15-3.29
Nd: 0.7500 0.9971 0.2852  3 Au 2.97-3.26

# 2
First-principles (PBE-GGA) data for an optimized crystal structure of HfThGe, as listed in Alexandria via LeMat-Bulk.

Computed properties:
symmetry: P-3m1 (164)
spin magnetization: 0.000 μB/atom
ΔH_f (0 K): -0.11 eV per atom

a b c (Å): 4.1928 4.1928 10.8305
angles (deg): 90.00 90.00 120.00
Last column: nearest neighbours and their distance in Å.
Positions (direct):
Ge: 0.3333 0.6667 0.1903  3 Hf 2.66, 3 Th 2.96
Ge: 0.6667 0.3333 0.8097  3 Hf 2.66, 3 Th 2.96
Th: 0.0000 0.0000 0.6526  3 Ge 2.96, 1 Th 3.31
Th: 0.0000 0.0000 0.3474  3 Ge 2.96, 1 Th 3.31
Hf: 0.3333 0.6667 0.9115  3 Ge 2.66
Hf: 0.6667 0.3333 0.0885  3 Ge 2.66

# 3
First-principles (PBE-GGA) data for an optimized crystal structure of GaIrIN2, as listed in Alexandria via LeMat-Bulk.

Computed properties:
symmetry: P4/mmm (123)
formation energy from raw total energies: 1.732 eV/atom
spin magnetization: 0.607 μB/atom

a b c (Å): 3.8002 3.8002 6.8693
angles (deg): 90.00 90.00 90.00
Last column: nearest neighbours and their distance in Å.
Positions (direct):
Ir: 0.5000 0.5000 0.5000  4 I 2.69
N: 0.0000 0.5000 0.0000  2 Ga 1.90
N: 0.5000 0.0000 0.0000  2 Ga 1.90
Ga: 0.0000 0.0000 0.0000  4 N 1.90
I: 0.0000 0.0000 0.5000  4 Ir 2.69

# 4
First-principles (PBE-GGA) data for an optimized crystal structure of Dy6Si2AsSe3, as listed in Alexandria via LeMat-Bulk.

Computed properties:
symmetry: C2/m (12)
formation energy from raw total energies: -1.459 eV/atom
spin magnetization: 0.000 μB/atom

a b c (Å): 4.1071 8.2560 9.2089
angles (deg): 103.14 102.89 90.00
Last column: nearest neighbours and their distance in Å.
Positions (direct):
Dy: 0.6698 0.5755 0.3395  3 Si 2.86, 3 Se 2.97-2.98
Dy: 0.0050 0.2457 0.0099  1 Si 2.82, 2 As 2.87, 3 Se 2.95-2.97
Dy: 0.6652 0.0946 0.3304  2 Si 2.84, 1 As 2.89, 3 Se 2.96-2.97
Dy: 0.9950 0.7543 0.9901  1 Si 2.82, 2 As 2.87, 3 Se 2.95-2.97
Dy: 0.3348 0.9054 0.6696  2 Si 2.84, 1 As 2.89, 3 Se 2.96-2.97
Dy: 0.3302 0.4245 0.6605  3 Si 2.86, 3 Se 2.97-2.98
Si: 0.8334 0.6668 0.6667  6 Dy 2.82-2.86
Si: 0.1666 0.3332 0.3333  6 Dy 2.82-2.86
Se: 0.8348 0.1657 0.6696  6 Dy 2.96-2.98
Se: 0.5000 0.5000 0.0000  6 Dy 2.95-2.97
Se: 0.1652 0.8343 0.3304  6 Dy 2.96-2.98
As: 0.5000 0.0000 0.0000  6 Dy 2.87-2.89

# 5
First-principles (PBE-GGA) data for an optimized crystal structure of KIn2Sn2, as listed in Alexandria via LeMat-Bulk.

Computed properties:
symmetry: I4/mmm (139)
spin magnetization: 0.000 μB/atom
ΔH_f (0 K): -0.15 eV per atom

a b c (Å): 5.2779 5.2779 6.9568
angles (deg): 67.71 67.71 90.00
Last column: nearest neighbours and their distance in Å.
Positions (direct):
K: 0.0000 0.0000 0.0000  8 In 3.95, 10 Sn 4.01-4.41
Sn: 0.6240 0.6240 0.7520  1 Sn 2.91, 4 In 3.03
Sn: 0.3760 0.3760 0.2480  1 Sn 2.91, 4 In 3.03
In: 0.7500 0.2500 0.5000  4 Sn 3.03
In: 0.2500 0.7500 0.5000  4 Sn 3.03

# 6
First-principles (PBE-GGA) data for an optimized crystal structure of Tl2PbCl, as listed in Alexandria via LeMat-Bulk.

Computed properties:
symmetry: R3m (160)
formation energy from raw total energies: -0.275 eV/atom
spin magnetization: 0.000 μB/atom

a b c (Å): 10.7223 10.7223 10.7223
angles (deg): 19.41 19.41 19.41
Last column: nearest neighbours and their distance in Å.
Positions (direct):
Cl: 0.5012 0.5012 0.5012  3 Tl 3.09, 3 Pb 3.18
Tl: 0.0002 0.0002 0.0002  3 Pb 3.56, 9 Tl 3.61-3.62
Tl: 0.2402 0.2402 0.2402  3 Cl 3.09
Pb: 0.7583 0.7583 0.7583  3 Cl 3.18, 3 Tl 3.56

# 7
First-principles (PBE-GGA) data for an optimized crystal structure of PrZn2Ga3, as listed in Alexandria via LeMat-Bulk.

Computed properties:
symmetry: P6/mmm (191)
spin magnetization: 0.000 μB/atom
ΔH_f (0 K): -0.29 eV per atom

a b c (Å): 5.6535 5.6535 4.1816
angles (deg): 90.00 90.00 120.00
Last column: nearest neighbours and their distance in Å.
Positions (direct):
Ga: 0.5000 0.5000 0.0000  4 Zn 2.65, 4 Ga 2.83
Ga: 0.0000 0.5000 0.0000  4 Zn 2.65, 4 Ga 2.83
Ga: 0.5000 0.0000 0.0000  4 Zn 2.65, 4 Ga 2.83
Zn: 0.3333 0.6667 0.5001  6 Ga 2.65
Zn: 0.6667 0.3333 0.4999  6 Ga 2.65
Pr: 0.0000 0.0000 0.5000  6 Zn 3.26, 12 Ga 3.52

# 8
First-principles (PBE-GGA) data for an optimized crystal structure of Be4IrBr, as listed in Alexandria via LeMat-Bulk.

Computed properties:
symmetry: F-43m (216)
formation energy from raw total energies: 0.442 eV/atom
spin magnetization: 0.000 μB/atom

a b c (Å): 4.5845 4.5845 4.5845
angles (deg): 60.00 60.00 60.00
Last column: nearest neighbours and their distance in Å.
Positions (direct):
Br: 0.7500 0.7500 0.7500  12 Be 2.69, 4 Ir 2.81
Be: 0.3722 0.3722 0.3722  6 Be 2.24-2.34
Be: 0.8834 0.3722 0.3722  6 Be 2.24-2.34
Be: 0.3722 0.8834 0.3722  6 Be 2.24-2.34
Be: 0.3722 0.3722 0.8834  6 Be 2.24-2.34
Ir: 0.0000 0.0000 0.0000  12 Be 2.68, 4 Br 2.81